1.
The following is a DFT calculation (PBE) of an optimized crystal structure of InReGe3.

abc: 4.894 4.894 4.894
angles: 90.00 90.00 90.00
Element x y z (fractional)
1 Re 0.000 0.000 0.000
2 Ge 0.500 0.000 0.000
3 Ge 0.000 0.500 0.000
4 Ge 0.000 0.000 0.500
5 In 0.500 0.500 0.500

Properties
- DOS at the Fermi energy (states/eV per atom) = 0.758
- DFT formation energy (kJ per mole of atoms) = 33.8
- spin magnetization (μB/f.u.) = 0.000
- energy (eV/atom) = -5.458
- relative energy among the computed polymorphs (meV/atom) = 0
- symmetry = Pm-3m (221)
- V (Å³ per atom) = 23.442

2.
The following is a DFT calculation (PBE) of an optimized crystal structure of InRe2Ge2.

abc: 7.274 7.274 3.160
angles: 90.00 90.00 90.00
Element x y z (fractional)
1 Re 0.856 0.644 0.000
2 Ge 0.649 0.851 0.500
3 In 0.500 0.500 0.000
4 Re 0.356 0.856 0.000
5 Ge 0.149 0.649 0.500
6 Re 0.144 0.356 0.000
7 In 0.000 0.000 0.000
8 Ge 0.851 0.351 0.500
9 Ge 0.351 0.149 0.500
10 Re 0.644 0.144 0.000

Properties
- DOS at the Fermi energy (states/eV per atom) = 0.790
- DFT formation energy (kJ per mole of atoms) = 33.5
- spin magnetization (μB/f.u.) = 0.000
- energy (eV/atom) = -7.026
- symmetry = P4/mbm (127)
- V (Å³ per atom) = 16.718

3.
The following is a DFT calculation (PBE) of an optimized crystal structure of InReGe.

abc: 3.088 6.861 7.271
angles: 129.76 102.26 90.00
Element x y z (fractional)
1 Re 0.861 0.702 0.722
2 Re 0.139 0.298 0.278
3 In 0.582 0.889 0.164
4 Ge 0.666 0.631 0.332
5 In 0.418 0.111 0.836
6 Ge 0.334 0.369 0.668

Properties
- DOS at the Fermi energy (states/eV per atom) = 0.322
- DFT formation energy (kJ per mole of atoms) = 19.5
- spin magnetization (μB/f.u.) = 0.000
- energy (eV/atom) = -6.399
- relative energy among the computed polymorphs (meV/atom) = 0
- symmetry = C2/m (12)
- V (Å³ per atom) = 18.968

4.
The following is a DFT calculation (PBE) of an optimized crystal structure of InReSiGe2.

abc: 4.900 4.745 4.900
angles: 90.00 90.00 90.00
Element x y z (fractional)
1 In 0.500 0.500 0.500
2 Si 0.000 0.500 0.000
3 Ge 0.500 0.000 0.000
4 Re 0.000 0.000 0.000
5 Ge 0.000 0.000 0.500

Properties
- DOS at the Fermi energy (states/eV per atom) = 0.849
- spin magnetization (μB/f.u.) = 0.000
- uncorrected formation energy (eV per atom) = 0.387
- energy (eV/atom) = -5.582
- symmetry = P4/mmm (123)
- V (Å³ per atom) = 22.784

5.
The following is a DFT calculation (PBE) of an optimized crystal structure of InReGeW2.

abc: 4.884 4.680 4.884
angles: 90.00 90.00 90.00
Element x y z (fractional)
1 In 0.500 0.500 0.500
2 Re 0.000 0.000 0.000
3 W 0.000 0.000 0.500
4 W 0.500 0.000 0.000
5 Ge 0.000 0.500 0.000

Properties
- DOS at the Fermi energy (states/eV per atom) = 1.303
- DFT formation energy (kJ per mole of atoms) = 147.0
- spin magnetization (μB/f.u.) = 0.001
- energy (eV/atom) = -7.619
- symmetry = P4/mmm (123)
- V (Å³ per atom) = 22.332

6.
The following is a DFT calculation (PBE) of an optimized crystal structure of In3GeRh.

abc: 5.169 5.169 5.169
angles: 90.00 90.00 90.00
Element x y z (fractional)
1 In 0.000 0.500 0.000
2 Rh 0.500 0.500 0.500
3 In 0.500 0.000 0.000
4 Ge 0.000 0.000 0.000
5 In 0.000 0.000 0.500

Properties
- DOS at the Fermi energy (states/eV per atom) = 0.926
- DFT formation energy (kJ per mole of atoms) = 83.3
- spin magnetization (μB/f.u.) = 0.000
- energy (eV/atom) = -3.174
- relative energy among the computed polymorphs (meV/atom) = 717
- symmetry = Pm-3m (221)
- V (Å³ per atom) = 27.625

7.
The following is a DFT calculation (PBE) of an optimized crystal structure of InGeRh.

abc: 3.283 4.373 4.373
angles: 120.00 90.00 90.00
Element x y z (fractional)
1 Rh 0.166 0.000 0.000
2 In 0.667 0.667 0.333
3 Ge 0.167 0.333 0.667

Properties
- DOS at the Fermi energy (states/eV per atom) = 0.892
- DFT formation energy (kJ per mole of atoms) = -9.2
- spin magnetization (μB/f.u.) = 0.000
- energy (eV/atom) = -4.998
- symmetry = P-6m2 (187)
- V (Å³ per atom) = 18.122

8.
The following is a DFT calculation (PBE) of an optimized crystal structure of In3GeRh3.

abc: 5.453 5.664 5.453
angles: 110.26 108.68 110.26
Element x y z (fractional)
1 Rh 0.500 0.504 0.000
2 Rh 0.500 0.004 0.500
3 In 0.000 0.004 0.500
4 In 0.500 0.004 0.000
5 Rh 0.000 0.504 0.500
6 Ge 0.000 0.503 0.000
7 In 0.500 0.504 0.500

Properties
- DOS at the Fermi energy (states/eV per atom) = 0.694
- DFT formation energy (kJ per mole of atoms) = -28.6
- spin magnetization (μB/f.u.) = 0.000
- energy (eV/atom) = -5.280
- relative energy among the computed polymorphs (meV/atom) = 0
- symmetry = R-3m (166)
- V (Å³ per atom) = 18.338

9.
The following is a DFT calculation (PBE) of an optimized crystal structure of InGeRh3.

abc: 4.538 4.538 4.538
angles: 90.00 90.00 90.00
Element x y z (fractional)
1 Ge 0.000 0.000 0.000
2 Rh 0.000 0.000 0.500
3 Rh 0.500 0.000 0.000
4 In 0.500 0.500 0.500
5 Rh 0.000 0.500 0.000

Properties
- DOS at the Fermi energy (states/eV per atom) = 0.099
- DFT formation energy (kJ per mole of atoms) = 16.3
- spin magnetization (μB/f.u.) = 0.000
- energy (eV/atom) = -5.713
- relative energy among the computed polymorphs (meV/atom) = 456
- symmetry = Pm-3m (221)
- V (Å³ per atom) = 18.694

10.
The following is a DFT calculation (PBE) of an optimized crystal structure of InGeRh4.

abc: 4.104 4.105 6.237
angles: 89.94 89.95 90.00
Element x y z (fractional)
1 In 0.501 0.497 0.998
2 Rh 0.501 0.997 0.274
3 Rh 0.501 0.998 0.722
4 Rh 0.001 0.497 0.274
5 Rh 0.002 0.497 0.722
6 Ge 0.001 0.997 0.498

Properties
- DOS at the Fermi energy (states/eV per atom) = 1.364
- DFT formation energy (kJ per mole of atoms) = -5.6
- spin magnetization (μB/f.u.) = 0.000
- energy (eV/atom) = -6.185
- symmetry = C2/m (12)
- V (Å³ per atom) = 17.511

11.
The following is a DFT calculation (PBE) of an optimized crystal structure of InGeRh2.

abc: 3.875 3.875 5.879
angles: 70.76 70.76 60.00
Element x y z (fractional)
1 In 0.496 0.496 0.511
2 Rh 0.065 0.065 0.806
3 Rh 0.268 0.268 0.195
4 Ge 0.671 0.671 0.987

Properties
- DOS at the Fermi energy (states/eV per atom) = 0.387
- DFT formation energy (kJ per mole of atoms) = -35.0
- spin magnetization (μB/f.u.) = 0.000
- energy (eV/atom) = -5.878
- symmetry = R3m (160)
- V (Å³ per atom) = 17.672

12.
The following is a DFT calculation (PBE) of an optimized crystal structure of InGeRh.

abc: 3.067 3.067 6.215
angles: 104.29 104.29 90.00
Element x y z (fractional)
1 In 0.015 0.015 0.030
2 Ge 0.305 0.305 0.609
3 Rh 0.681 0.681 0.361

Properties
- DOS at the Fermi energy (states/eV per atom) = 0.542
- DFT formation energy (kJ per mole of atoms) = -18.5
- spin magnetization (μB/f.u.) = 0.000
- energy (eV/atom) = -5.094
- symmetry = I4mm (107)
- V (Å³ per atom) = 18.265